# ScCr2Co

An optimized crystal structure of ScCr2Co (PBE, Alexandria).

Its formation energy is 0.102 eV per atom. The polymorph energy (0 for the lowest one) is 0 meV/atom. The density is 6.2 g/cm3.

a b c (Å): 3.112 4.028 4.463
angles (deg): 90.00 90.00 90.00
Space group Pmmm (No. 47)
Inequivalent atoms, fractional coordinates:
Sc 0.000 0.000 0.000 (multiplicity 1)
Cr 0.000 0.500 0.500 (multiplicity 1)
Cr 0.500 0.000 0.500 (multiplicity 1)
Co 0.500 0.500 0.000 (multiplicity 1)